Density functional theory data (PBE) for crystalline LiScIn2Cu4 at its relaxed geometry.

Results
**Energy**: -30.16 eV for the cell shown
**V**: 125.2 Å³/cell
**Magnetization**: 0.00 μB per cell

Lattice parameters (Å, degrees): 4.473 4.473 6.260 90.00 90.00 90.00
Sites, in units of the cell vectors:
Li 0.000 0.000 0.000
Sc 0.500 0.500 0.500
In 0.000 0.000 0.500
In 0.500 0.500 0.000
Cu 0.000 0.500 0.241
Cu 0.000 0.500 0.759
Cu 0.500 0.000 0.241
Cu 0.500 0.000 0.759

=====

Density functional theory data (PBE) for crystalline Li4InCu2Si at its relaxed geometry.

Results
**Energy**: -25.20 eV for the cell shown
**V**: 110.4 Å³/cell

Lattice parameters (Å, degrees): 4.200 4.200 6.257 90.00 90.00 90.00
Sites, in units of the cell vectors:
Li 0.000 0.000 0.000
Li 0.000 0.500 0.723
Li 0.500 0.000 0.277
Li 0.500 0.500 0.500
In 0.500 0.500 0.000
Cu 0.000 0.500 0.283
Cu 0.500 0.000 0.717
Si 0.000 0.000 0.500

=====

Density functional theory data (PBE) for crystalline Li2InCu2Sn at its relaxed geometry.

Results
**Energy**: -19.19 eV for the cell shown
**V**: 100.6 Å³/cell

Lattice parameters (Å, degrees): 4.524 4.524 5.679 90.00 90.00 120.00
Sites, in units of the cell vectors:
Li 0.000 0.000 0.248
Li 0.000 0.000 0.752
In 0.333 0.667 0.500
Cu 0.333 0.667 0.000
Cu 0.667 0.333 0.500
Sn 0.667 0.333 0.000

=====

Density functional theory data (PBE) for crystalline LiTaInCu at its relaxed geometry.

Results
**V**: 267.5 Å³/cell
**Excess energy over the best structure of this formula in the dataset**: 0.197 eV/atom
**Magnetization**: 0.02 μB per cell

Lattice parameters (Å, degrees): 6.444 6.444 6.444 90.00 90.00 90.00
Sites, in units of the cell vectors:
Li 0.000 0.000 0.000
Li 0.000 0.500 0.500
Li 0.500 0.000 0.500
Li 0.500 0.500 0.000
Ta 0.250 0.250 0.250
Ta 0.250 0.750 0.750
Ta 0.750 0.250 0.750
Ta 0.750 0.750 0.250
In 0.000 0.000 0.500
In 0.000 0.500 0.000
In 0.500 0.000 0.000
In 0.500 0.500 0.500
Cu 0.250 0.250 0.750
Cu 0.250 0.750 0.250
Cu 0.750 0.250 0.250
Cu 0.750 0.750 0.750

=====

Density functional theory data (PBE) for crystalline LiTaInCu at its relaxed geometry.

Results
**V**: 248.2 Å³/cell
**Excess energy over the best structure of this formula in the dataset**: 0.000 eV/atom
**Magnetization**: 0.01 μB per cell

Lattice parameters (Å, degrees): 6.285 6.285 6.285 90.00 90.00 90.00
Sites, in units of the cell vectors:
Li 0.000 0.000 0.000
Li 0.000 0.500 0.500
Li 0.500 0.000 0.500
Li 0.500 0.500 0.000
Ta 0.250 0.250 0.750
Ta 0.250 0.750 0.250
Ta 0.750 0.250 0.250
Ta 0.750 0.750 0.750
In 0.250 0.250 0.250
In 0.250 0.750 0.750
In 0.750 0.250 0.750
In 0.750 0.750 0.250
Cu 0.000 0.000 0.500
Cu 0.000 0.500 0.000
Cu 0.500 0.000 0.000
Cu 0.500 0.500 0.500

=====

Density functional theory data (PBE) for crystalline LiYInCu at its relaxed geometry.

Results
**V**: 297.8 Å³/cell
**Excess energy over the best structure of this formula in the dataset**: 0.000 eV/atom
**Magnetization**: 0.00 μB per cell

Lattice parameters (Å, degrees): 6.678 6.678 6.678 90.00 90.00 90.00
Sites, in units of the cell vectors:
Li 0.000 0.000 0.000
Li 0.000 0.500 0.500
Li 0.500 0.000 0.500
Li 0.500 0.500 0.000
Y 0.250 0.250 0.250
Y 0.250 0.750 0.750
Y 0.750 0.250 0.750
Y 0.750 0.750 0.250
In 0.250 0.250 0.750
In 0.250 0.750 0.250
In 0.750 0.250 0.250
In 0.750 0.750 0.750
Cu 0.000 0.000 0.500
Cu 0.000 0.500 0.000
Cu 0.500 0.000 0.000
Cu 0.500 0.500 0.500

=====

Density functional theory data (PBE) for crystalline LiYInCu at its relaxed geometry.

Results
**V**: 311.7 Å³/cell
**Excess energy over the best structure of this formula in the dataset**: 0.205 eV/atom
**Magnetization**: 0.00 μB per cell

Lattice parameters (Å, degrees): 6.780 6.780 6.780 90.00 90.00 90.00
Sites, in units of the cell vectors:
Li 0.000 0.000 0.000
Li 0.000 0.500 0.500
Li 0.500 0.000 0.500
Li 0.500 0.500 0.000
Y 0.250 0.250 0.250
Y 0.250 0.750 0.750
Y 0.750 0.250 0.750
Y 0.750 0.750 0.250
In 0.000 0.000 0.500
In 0.000 0.500 0.000
In 0.500 0.000 0.000
In 0.500 0.500 0.500
Cu 0.250 0.250 0.750
Cu 0.250 0.750 0.250
Cu 0.750 0.250 0.250
Cu 0.750 0.750 0.750

=====

Density functional theory data (PBE) for crystalline LiYInCu at its relaxed geometry.

Results
**V**: 147.6 Å³/cell
**Excess energy over the best structure of this formula in the dataset**: 0.002 eV/atom
**Magnetization**: 0.00 μB per cell

Lattice parameters (Å, degrees): 4.705 4.705 6.665 90.00 90.00 90.00
Sites, in units of the cell vectors:
Li 0.000 0.000 0.000
Li 0.500 0.500 0.500
Y 0.000 0.500 0.749
Y 0.500 0.000 0.251
In 0.000 0.500 0.249
In 0.500 0.000 0.751
Cu 0.000 0.000 0.500
Cu 0.500 0.500 0.000